#P
DFT (PBE) results for Ti3NiAg after structural relaxation.

a b c (Å): 4.5452 4.5452 4.5452
angles (deg): 90.00 90.00 90.00
Space group Pm-3m (No. 221)
Unique sites:
1 Ti 0.0000 0.0000 0.5000 (multiplicity 3)
2 Ni 0.0000 0.0000 0.0000 (multiplicity 1)
3 Ag 0.5000 0.5000 0.5000 (multiplicity 1)

Computed properties:
* calculated density: 5.48 Mg/m³

***

#Q
DFT (PBE) results for Ti3NiAg after structural relaxation.

a b c (Å): 4.8083 4.8083 4.8083
angles (deg): 90.00 90.00 90.00
Space group Pm-3m (No. 221)
Unique sites:
1 Ti 0.0000 0.0000 0.5000 (multiplicity 3)
2 Ni 0.5000 0.5000 0.5000 (multiplicity 1)
3 Ag 0.0000 0.0000 0.0000 (multiplicity 1)

Computed properties:
* calculated density: 4.63 Mg/m³

***

Relative stability in meV/atom, measured from the most stable structure: #P 0; #Q 994

***

#P
DFT (PBE) results for Tl2NiAg after structural relaxation.

a b c (Å): 6.4642 3.1402 8.6801
angles (deg): 90.00 104.10 90.00
Space group C2/m (No. 12)
Unique sites:
1 Tl 0.2430 0.0000 0.2812 (multiplicity 4)
2 Ni 0.0000 0.0000 0.5000 (multiplicity 2)
3 Ag 0.0000 0.5000 0.0000 (multiplicity 2)

Computed properties:
* calculated density: 11.18 Mg/m³

***

#Q
DFT (PBE) results for Tl2NiAg after structural relaxation.

a b c (Å): 3.0812 4.4638 12.4063
angles (deg): 90.00 90.00 90.00
Space group Imm2 (No. 44)
Unique sites:
1 Tl 0.0000 0.0000 0.0000 (multiplicity 2)
2 Tl 0.0000 0.5000 0.2083 (multiplicity 2)
3 Ni 0.0000 0.0000 0.5129 (multiplicity 2)
4 Ag 0.0000 0.5000 0.8282 (multiplicity 2)

Computed properties:
* calculated density: 11.20 Mg/m³

***

Relative stability in meV/atom, measured from the most stable structure: #P 94; #Q 0

***

#P
DFT (PBE) results for Tl2NiAg after structural relaxation.

a b c (Å): 4.2158 4.2158 9.1878
angles (deg): 90.00 90.00 90.00
Space group I-4m2 (No. 119)
Unique sites:
1 Tl 0.0000 0.0000 0.0000 (multiplicity 2)
2 Tl 0.0000 0.5000 0.2500 (multiplicity 2)
3 Ni 0.0000 0.0000 0.5000 (multiplicity 2)
4 Ag 0.0000 0.5000 0.7500 (multiplicity 2)

Computed properties:
* calculated density: 11.70 Mg/m³

***

#Q
DFT (PBE) results for Tl2NiAg after structural relaxation.

a b c (Å): 4.2999 3.1689 6.8186
angles (deg): 90.00 108.23 90.00
Space group Pm (No. 6)
Unique sites:
1 Tl 0.0000 0.0000 0.0000 (multiplicity 1)
2 Tl 0.2928 0.5000 0.5888 (multiplicity 1)
3 Ni 0.5030 0.5000 0.0058 (multiplicity 1)
4 Ag 0.6740 0.0000 0.3490 (multiplicity 1)

Computed properties:
* calculated density: 10.83 Mg/m³

***

Relative stability in meV/atom, measured from the most stable structure: #P 149; #Q 0

***

#P
DFT (PBE) results for TlNiAg3 after structural relaxation.

a b c (Å): 4.8937 4.8937 4.8937
angles (deg): 90.00 90.00 90.00
Space group Pm-3m (No. 221)
Unique sites:
1 Tl 0.0000 0.0000 0.0000 (multiplicity 1)
2 Ni 0.5000 0.5000 0.5000 (multiplicity 1)
3 Ag 0.0000 0.5000 0.5000 (multiplicity 3)

Computed properties:
* calculated density: 8.31 Mg/m³

***

#Q
DFT (PBE) results for TlNiAg3 after structural relaxation.

a b c (Å): 5.2395 5.2395 5.2395
angles (deg): 90.00 90.00 90.00
Space group Pm-3m (No. 221)
Unique sites:
1 Tl 0.0000 0.0000 0.0000 (multiplicity 1)
2 Ni 0.5000 0.5000 0.5000 (multiplicity 1)
3 Ag 0.0000 0.0000 0.5000 (multiplicity 3)

Computed properties:
* calculated density: 6.77 Mg/m³

***

Relative stability in meV/atom, measured from the most stable structure: #P 0; #Q 674

***

#P
DFT (PBE) results for Tl3NiAg after structural relaxation.

a b c (Å): 5.1236 5.1236 5.1236
angles (deg): 90.00 90.00 90.00
Space group Pm-3m (No. 221)
Unique sites:
1 Tl 0.0000 0.0000 0.5000 (multiplicity 3)
2 Ni 0.0000 0.0000 0.0000 (multiplicity 1)
3 Ag 0.5000 0.5000 0.5000 (multiplicity 1)

Computed properties:
* calculated density: 9.63 Mg/m³

***

#Q
DFT (PBE) results for Tl3NiAg after structural relaxation.

a b c (Å): 5.4634 5.4634 5.4634
angles (deg): 90.00 90.00 90.00
Space group Pm-3m (No. 221)
Unique sites:
1 Tl 0.0000 0.0000 0.5000 (multiplicity 3)
2 Ni 0.5000 0.5000 0.5000 (multiplicity 1)
3 Ag 0.0000 0.0000 0.0000 (multiplicity 1)

Computed properties:
* calculated density: 7.94 Mg/m³

***

Relative stability in meV/atom, measured from the most stable structure: #P 0; #Q 590

***

#P
DFT (PBE) results for TlNi2Ag2 after structural relaxation.

a b c (Å): 3.8300 3.8300 12.0608
angles (deg): 90.00 90.00 90.00
Space group I4/mmm (No. 139)
Unique sites:
1 Tl 0.0000 0.0000 0.0000 (multiplicity 2)
2 Ni 0.0000 0.0000 0.4043 (multiplicity 4)
3 Ag 0.0000 0.5000 0.2500 (multiplicity 4)

Computed properties:
* calculated density: 10.09 Mg/m³

***

#Q
DFT (PBE) results for TlNi2Ag2 after structural relaxation.

a b c (Å): 7.5685 7.5685 2.9484
angles (deg): 90.00 90.00 90.00
Space group P4/mbm (No. 127)
Unique sites:
1 Tl 0.0000 0.0000 0.0000 (multiplicity 2)
2 Ni 0.1637 0.3363 0.5000 (multiplicity 4)
3 Ag 0.1313 0.6313 0.0000 (multiplicity 4)

Computed properties:
* calculated density: 10.57 Mg/m³

***

#R
DFT (PBE) results for TlNi2Ag2 after structural relaxation.

a b c (Å): 3.3117 3.3117 16.8109
angles (deg): 90.00 90.00 90.00
Space group I4/mmm (No. 139)
Unique sites:
1 Tl 0.0000 0.0000 0.0000 (multiplicity 2)
2 Ni 0.0000 0.5000 0.2500 (multiplicity 4)
3 Ag 0.0000 0.0000 0.3764 (multiplicity 4)

Computed properties:
* calculated density: 9.68 Mg/m³

***

#S
DFT (PBE) results for TlNi2Ag2 after structural relaxation.

a b c (Å): 6.5814 6.5814 3.9179
angles (deg): 90.00 90.00 90.00
Space group P4/mbm (No. 127)
Unique sites:
1 Tl 0.0000 0.0000 0.0000 (multiplicity 2)
2 Ni 0.1268 0.3732 0.0000 (multiplicity 4)
3 Ag 0.1618 0.6618 0.5000 (multiplicity 4)

Computed properties:
* calculated density: 10.52 Mg/m³

***

Relative stability in meV/atom, measured from the most stable structure: #P 155; #Q 137; #R 144; #S 0